Below is an optimized crystal structure of HfNbC, with properties calculated at the PBE level.

a b c (Å): 3.2537 5.2051 5.4230
angles (deg): 90.00 90.00 90.00
With the nearest neighbours (Å) after each atom.
Space group Pmn2_1 (No. 31)
Inequivalent atoms, fractional coordinates:
1 Hf 0.0000 0.0218 0.0000 (multiplicity 2)  3 C 2.26-2.27
2 Nb 0.0000 0.4782 0.6431 (multiplicity 2)  3 C 2.21-2.22
3 C 0.0000 0.7416 0.3201 (multiplicity 2)  3 Nb 2.21-2.22, 3 Hf 2.26-2.27

## Properties
**Fermi-level density of states**: 1.43 states/eV/f.u.
**Density**: 10248 kg/m3
**ΔH_f (0 K)**: -0.55 eV per atom
**Magnetic moment**: 0.00 μB per cell
**Distance to the lowest polymorph of the same formula**: 0.00 eV/f.u.